Density functional theory data (PBE) for a geometry-optimized BeP3O structure.

The structure in POSCAR format:
```
BeP3O
1.0
4.0832 0.0000 0.0000
0.0000 4.0832 0.0000
0.0000 0.0000 4.0832
P O Be
3 1 1
Cartesian
0.0000 2.0416 0.0000
0.0000 0.0000 2.0416
2.0416 0.0000 0.0000
0.0000 0.0000 0.0000
2.0416 2.0416 2.0416
```

Results
E_tot = -20.90 eV for the cell shown
space group = Pm-3m, No. 221
E above lowest polymorph = 0.000 eV per atom
crystal system = cubic
formation energy (no corrections) = 0.8037 eV/atom